(1)
# KTeRu

Crystalline KTeRu at its relaxed geometry (PBE, the Alexandria database).

E in eV per atom: -4.781
Symmetry: P4/nmm
ΔE to the lowest computed polymorph in eV per formula unit: 0.000
Formation energy without anion corrections in eV/atom: -0.276

a = 4.315 Å, b = 4.315 Å, c = 10.275 Å
α = 90.00°, β = 90.00°, γ = 90.00°
Fractional coordinates of all 6 atoms:
K 0.250 0.250 0.189
K 0.750 0.750 0.811
Te 0.250 0.250 0.642
Te 0.750 0.750 0.358
Ru 0.250 0.750 0.500
Ru 0.750 0.250 0.500


(2)
# CaEr2Cu

Crystalline CaEr2Cu at its relaxed geometry (PBE, the Alexandria database).

E in eV per atom: -3.740
Symmetry: R-3m
ΔE to the lowest computed polymorph in eV per formula unit: 0.499
Formation energy from the elements in eV/atom: 0.07

a = 3.711 Å, b = 3.711 Å, c = 29.888 Å
α = 90.00°, β = 90.00°, γ = 120.00°
Fractional coordinates of all 12 atoms:
Ca 0.000 0.000 0.000
Ca 0.333 0.667 0.667
Ca 0.667 0.333 0.333
Er 0.000 0.000 0.228
Er 0.000 0.000 0.772
Er 0.333 0.667 0.439
Er 0.333 0.667 0.895
Er 0.667 0.333 0.105
Er 0.667 0.333 0.561
Cu 0.000 0.000 0.500
Cu 0.333 0.667 0.167
Cu 0.667 0.333 0.833


(3)
# AlCo2PCl

Crystalline AlCo2PCl at its relaxed geometry (PBE, the Alexandria database).

E in eV per atom: -4.002
Symmetry: P4/mmm
Formation energy without anion corrections in eV/atom: 1.041

a = 4.718 Å, b = 4.718 Å, c = 4.433 Å
α = 90.00°, β = 90.00°, γ = 90.00°
Fractional coordinates of all 5 atoms:
Al 0.000 0.000 0.000
Co 0.000 0.500 0.000
Co 0.500 0.000 0.000
P 0.000 0.000 0.500
Cl 0.500 0.500 0.500


(4)
# La4CoSnSb

Crystalline La4CoSnSb at its relaxed geometry (PBE, the Alexandria database).

E in eV per atom: -5.660
Symmetry: Cmcm
Formation energy without anion corrections in eV/atom: -0.668

a = 9.487 Å, b = 9.487 Å, c = 7.103 Å
α = 90.00°, β = 90.00°, γ = 136.06°
Fractional coordinates of all 14 atoms:
La 0.000 0.500 0.000
La 0.000 0.500 0.500
La 0.075 0.925 0.750
La 0.423 0.577 0.750
La 0.500 0.000 0.000
La 0.500 0.000 0.500
La 0.577 0.423 0.250
La 0.925 0.075 0.250
Co 0.251 0.749 0.750
Co 0.749 0.251 0.250
Sn 0.110 0.890 0.250
Sn 0.890 0.110 0.750
Sb 0.390 0.610 0.250
Sb 0.610 0.390 0.750


(5)
# TcSnBr2

Crystalline TcSnBr2 at its relaxed geometry (PBE, the Alexandria database).

E in eV per atom: -3.823
Symmetry: Fm-3m
ΔE to the lowest computed polymorph in eV per formula unit: 1.691
Formation energy without anion corrections in eV/atom: 0.606

a = 7.220 Å, b = 7.220 Å, c = 7.220 Å
α = 90.00°, β = 90.00°, γ = 90.00°
Fractional coordinates of all 16 atoms:
Tc 0.000 0.000 0.000
Tc 0.000 0.500 0.500
Tc 0.500 0.000 0.500
Tc 0.500 0.500 0.000
Sn 0.000 0.000 0.500
Sn 0.000 0.500 0.000
Sn 0.500 0.000 0.000
Sn 0.500 0.500 0.500
Br 0.250 0.250 0.250
Br 0.250 0.250 0.750
Br 0.250 0.750 0.250
Br 0.250 0.750 0.750
Br 0.750 0.250 0.250
Br 0.750 0.250 0.750
Br 0.750 0.750 0.250
Br 0.750 0.750 0.750


(6)
# NdHoTh2

Crystalline NdHoTh2 at its relaxed geometry (PBE, the Alexandria database).

E in eV per atom: -5.861
Symmetry: Fm-3m
ΔE to the lowest computed polymorph in eV per formula unit: 0.623
Formation energy from the elements in eV/atom: 0.19

a = 8.052 Å, b = 8.052 Å, c = 8.052 Å
α = 90.00°, β = 90.00°, γ = 90.00°
Fractional coordinates of all 16 atoms:
Nd 0.000 0.000 0.000
Nd 0.000 0.500 0.500
Nd 0.500 0.000 0.500
Nd 0.500 0.500 0.000
Ho 0.000 0.000 0.500
Ho 0.000 0.500 0.000
Ho 0.500 0.000 0.000
Ho 0.500 0.500 0.500
Th 0.250 0.250 0.250
Th 0.250 0.250 0.750
Th 0.250 0.750 0.250
Th 0.250 0.750 0.750
Th 0.750 0.250 0.250
Th 0.750 0.250 0.750
Th 0.750 0.750 0.250
Th 0.750 0.750 0.750


(7)
# Rb6H3Cl2F

Crystalline Rb6H3Cl2F at its relaxed geometry (PBE, the Alexandria database).

E in eV per atom: -2.942
Symmetry: C2/m

a = 9.903 Å, b = 9.903 Å, c = 8.898 Å
α = 102.76°, β = 102.76°, γ = 25.60°
Fractional coordinates of all 12 atoms:
Rb 0.004 0.004 0.271
Rb 0.338 0.338 0.438
Rb 0.341 0.341 0.901
Rb 0.659 0.659 0.099
Rb 0.662 0.662 0.562
Rb 0.996 0.996 0.729
H 0.162 0.162 0.338
H 0.500 0.500 0.000
H 0.838 0.838 0.662
Cl 0.167 0.167 0.831
Cl 0.833 0.833 0.169
F 0.500 0.500 0.500


(8)
# NaSn5Pb6

Crystalline NaSn5Pb6 at its relaxed geometry (PBE, the Alexandria database).

E in eV per atom: -3.613
Symmetry: C2/m
Formation energy from the elements in eV/atom: 0.02

a = 9.759 Å, b = 9.759 Å, c = 5.888 Å
α = 107.54°, β = 107.54°, γ = 123.98°
Fractional coordinates of all 12 atoms:
Na 0.000 0.000 0.000
Sn 0.163 0.837 0.500
Sn 0.332 0.668 0.000
Sn 0.500 0.500 0.500
Sn 0.668 0.332 0.000
Sn 0.837 0.163 0.500
Pb 0.085 0.425 0.255
Pb 0.266 0.266 0.769
Pb 0.425 0.085 0.255
Pb 0.575 0.915 0.745
Pb 0.734 0.734 0.231
Pb 0.915 0.575 0.745


(9)
# Ac2ScInAu6

Crystalline Ac2ScInAu6 at its relaxed geometry (PBE, the Alexandria database).

E in eV per atom: -4.014
Symmetry: Fm-3m
Formation energy from the elements in eV/atom: -0.32

a = 7.370 Å, b = 7.370 Å, c = 7.370 Å
α = 60.00°, β = 60.00°, γ = 60.00°
Fractional coordinates of all 10 atoms:
Ac 0.250 0.250 0.250
Ac 0.750 0.750 0.750
Sc 0.000 0.000 0.000
In 0.500 0.500 0.500
Au 0.247 0.247 0.753
Au 0.247 0.753 0.247
Au 0.247 0.753 0.753
Au 0.753 0.247 0.247
Au 0.753 0.247 0.753
Au 0.753 0.753 0.247


(10)
# BiAs2Ru2

Crystalline BiAs2Ru2 at its relaxed geometry (PBE, the Alexandria database).

E in eV per atom: -6.245
Symmetry: P4/mbm
Formation energy from the elements in eV/atom: 0.10

a = 7.655 Å, b = 7.655 Å, c = 3.063 Å
α = 90.00°, β = 90.00°, γ = 90.00°
Fractional coordinates of all 10 atoms:
Bi 0.000 0.000 0.000
Bi 0.500 0.500 0.000
As 0.137 0.363 0.500
As 0.363 0.863 0.500
As 0.637 0.137 0.500
As 0.863 0.637 0.500
Ru 0.135 0.635 0.000
Ru 0.365 0.135 0.000
Ru 0.635 0.865 0.000
Ru 0.865 0.365 0.000


(11)
# AlCu2Te

Crystalline AlCu2Te at its relaxed geometry (PBE, the Alexandria database).

E in eV per atom: -3.593
Symmetry: P2
ΔE to the lowest computed polymorph in eV per formula unit: 0.497
Formation energy without anion corrections in eV/atom: 0.176

a = 2.926 Å, b = 6.722 Å, c = 3.588 Å
α = 90.00°, β = 90.10°, γ = 90.00°
Fractional coordinates of all 4 atoms:
Al 0.000 0.000 0.000
Cu 0.000 0.375 0.000
Cu 0.500 0.185 0.500
Te 0.500 0.634 0.500


(12)
# AlSnAsSe2

Crystalline AlSnAsSe2 at its relaxed geometry (PBE, the Alexandria database).

E in eV per atom: -3.331
Symmetry: P4/mmm
ΔE to the lowest computed polymorph in eV per formula unit: 2.599
Formation energy without anion corrections in eV/atom: 0.542

a = 5.328 Å, b = 5.328 Å, c = 5.264 Å
α = 90.00°, β = 90.00°, γ = 90.00°
Fractional coordinates of all 5 atoms:
Al 0.000 0.000 0.000
Sn 0.500 0.500 0.500
As 0.500 0.500 0.000
Se 0.000 0.500 0.500
Se 0.500 0.000 0.500


(13)
# Pm12Ni2Hg5

Crystalline Pm12Ni2Hg5 at its relaxed geometry (PBE, the Alexandria database).

E in eV per atom: -3.835
Symmetry: C2/m
Formation energy from the elements in eV/atom: -0.15

a = 9.334 Å, b = 9.334 Å, c = 9.956 Å
α = 106.62°, β = 106.62°, γ = 47.99°
Fractional coordinates of all 19 atoms:
Pm 0.000 0.000 0.247
Pm 0.000 0.000 0.753
Pm 0.076 0.606 0.423
Pm 0.101 0.595 0.927
Pm 0.394 0.924 0.577
Pm 0.405 0.899 0.073
Pm 0.492 0.492 0.314
Pm 0.508 0.508 0.686
Pm 0.595 0.101 0.927
Pm 0.606 0.076 0.423
Pm 0.899 0.405 0.073
Pm 0.924 0.394 0.577
Ni 0.177 0.823 0.500
Ni 0.823 0.177 0.500
Hg 0.193 0.193 0.335
Hg 0.195 0.195 0.857
Hg 0.500 0.500 0.000
Hg 0.805 0.805 0.143
Hg 0.807 0.807 0.665


(14)
# TmGaS2

Crystalline TmGaS2 at its relaxed geometry (PBE, the Alexandria database).

E in eV per atom: -5.306
Symmetry: R-3m
Formation energy without anion corrections in eV/atom: -1.368

a = 3.920 Å, b = 3.920 Å, c = 21.173 Å
α = 90.00°, β = 90.00°, γ = 120.00°
Fractional coordinates of all 12 atoms:
Tm 0.000 0.000 0.000
Tm 0.333 0.667 0.667
Tm 0.667 0.333 0.333
Ga 0.000 0.000 0.500
Ga 0.333 0.667 0.167
Ga 0.667 0.333 0.833
S 0.000 0.000 0.262
S 0.000 0.000 0.738
S 0.333 0.667 0.404
S 0.333 0.667 0.929
S 0.667 0.333 0.071
S 0.667 0.333 0.596


(15)
# Na5Te2I

Crystalline Na5Te2I at its relaxed geometry (PBE, the Alexandria database).

E in eV per atom: -2.781
Symmetry: P2_1/c
Formation energy without anion corrections in eV/atom: -0.978

a = 12.452 Å, b = 10.139 Å, c = 9.037 Å
α = 90.00°, β = 105.66°, γ = 90.00°
Fractional coordinates of all 32 atoms:
Na 0.016 0.128 0.211
Na 0.016 0.372 0.711
Na 0.229 0.136 0.657
Na 0.229 0.364 0.157
Na 0.231 0.613 0.647
Na 0.231 0.887 0.147
Na 0.405 0.124 0.043
Na 0.405 0.376 0.543
Na 0.423 0.627 0.056
Na 0.423 0.873 0.556
Na 0.577 0.127 0.444
Na 0.577 0.373 0.944
Na 0.595 0.624 0.457
Na 0.595 0.876 0.957
Na 0.769 0.113 0.853
Na 0.769 0.387 0.353
Na 0.771 0.636 0.843
Na 0.771 0.864 0.343
Na 0.984 0.628 0.289
Na 0.984 0.872 0.789
Te 0.142 0.127 0.944
Te 0.142 0.373 0.444
Te 0.499 0.624 0.751
Te 0.499 0.876 0.251
Te 0.501 0.124 0.749
Te 0.501 0.376 0.249
Te 0.858 0.627 0.556
Te 0.858 0.873 0.056
I 0.161 0.625 0.958
I 0.161 0.875 0.458
I 0.839 0.125 0.542
I 0.839 0.375 0.042


(16)
# InCu2B

Crystalline InCu2B at its relaxed geometry (PBE, the Alexandria database).

E in eV per atom: -3.594
Symmetry: Fm-3m
Formation energy from the elements in eV/atom: 0.81

a = 6.013 Å, b = 6.013 Å, c = 6.013 Å
α = 90.00°, β = 90.00°, γ = 90.00°
Fractional coordinates of all 16 atoms:
In 0.000 0.000 0.000
In 0.000 0.500 0.500
In 0.500 0.000 0.500
In 0.500 0.500 0.000
Cu 0.250 0.250 0.250
Cu 0.250 0.250 0.750
Cu 0.250 0.750 0.250
Cu 0.250 0.750 0.750
Cu 0.750 0.250 0.250
Cu 0.750 0.250 0.750
Cu 0.750 0.750 0.250
Cu 0.750 0.750 0.750
B 0.000 0.000 0.500
B 0.000 0.500 0.000
B 0.500 0.000 0.000
B 0.500 0.500 0.500


(17)
# Ba2HgC

Crystalline Ba2HgC at its relaxed geometry (PBE, the Alexandria database).

E in eV per atom: -3.106
Symmetry: C2/m
ΔE to the lowest computed polymorph in eV per formula unit: 1.711
Formation energy from the elements in eV/atom: 0.24

a = 14.947 Å, b = 4.266 Å, c = 8.710 Å
α = 90.00°, β = 103.45°, γ = 90.00°
Fractional coordinates of all 16 atoms:
Ba 0.133 0.000 0.294
Ba 0.159 0.000 0.847
Ba 0.341 0.500 0.153
Ba 0.367 0.500 0.706
Ba 0.633 0.500 0.294
Ba 0.659 0.500 0.847
Ba 0.841 0.000 0.153
Ba 0.867 0.000 0.706
Hg 0.000 0.500 0.000
Hg 0.000 0.500 0.500
Hg 0.500 0.000 0.000
Hg 0.500 0.000 0.500
C 0.149 0.500 0.082
C 0.351 0.000 0.918
C 0.649 0.000 0.082
C 0.851 0.500 0.918


(18)
# UTe4Au

Crystalline UTe4Au at its relaxed geometry (PBE, the Alexandria database).

E in eV per atom: -4.704
Symmetry: P2_1/c
Formation energy without anion corrections in eV/atom: -0.182

a = 7.346 Å, b = 6.662 Å, c = 8.247 Å
α = 90.00°, β = 99.88°, γ = 90.00°
Fractional coordinates of all 12 atoms:
U 0.000 0.000 0.000
U 0.000 0.500 0.500
Te 0.149 0.132 0.347
Te 0.149 0.368 0.847
Te 0.372 0.631 0.397
Te 0.372 0.869 0.897
Te 0.628 0.131 0.103
Te 0.628 0.369 0.603
Te 0.851 0.632 0.153
Te 0.851 0.868 0.653
Au 0.500 0.000 0.500
Au 0.500 0.500 0.000


(19)
# MgCuMo2As

Crystalline MgCuMo2As at its relaxed geometry (PBE, the Alexandria database).

E in eV per atom: -5.233
Symmetry: P4/mmm
Formation energy from the elements in eV/atom: 1.17

a = 4.671 Å, b = 4.671 Å, c = 4.497 Å
α = 90.00°, β = 90.00°, γ = 90.00°
Fractional coordinates of all 5 atoms:
Mg 0.000 0.000 0.000
Cu 0.000 0.000 0.500
Mo 0.000 0.500 0.500
Mo 0.500 0.000 0.500
As 0.500 0.500 0.000


(20)
# MnZnCrW

Crystalline MnZnCrW at its relaxed geometry (PBE, the Alexandria database).

E in eV per atom: -8.116
Symmetry: F-43m
Formation energy from the elements in eV/atom: 0.14

a = 5.982 Å, b = 5.982 Å, c = 5.982 Å
α = 90.00°, β = 90.00°, γ = 90.00°
Fractional coordinates of all 16 atoms:
Mn 0.000 0.000 0.000
Mn 0.000 0.500 0.500
Mn 0.500 0.000 0.500
Mn 0.500 0.500 0.000
Zn 0.250 0.250 0.750
Zn 0.250 0.750 0.250
Zn 0.750 0.250 0.250
Zn 0.750 0.750 0.750
Cr 0.000 0.000 0.500
Cr 0.000 0.500 0.000
Cr 0.500 0.000 0.000
Cr 0.500 0.500 0.500
W 0.250 0.250 0.250
W 0.250 0.750 0.750
W 0.750 0.250 0.750
W 0.750 0.750 0.250